Entry 1:
NaSm2Pb | the Alexandria database | PBE | optimized geometry; calculated volume = 29.62 A^3/atom; VASP energy = -0.2809 Ry/atom; ΔH_f (0 K) = -206 meV per atom
1.0
4.559 0.000 0.000
0.000 5.098 0.000
0.000 0.000 5.098
Pb Na Sm
1 1 2
Cartesian
2.279 0.000 0.000
2.279 2.549 2.549
0.000 0.000 2.549
0.000 2.549 0.000

Entry 2:
NaSm5Pb6 | the Alexandria database | PBE | optimized geometry; calculated volume = 29.17 A^3/atom; VASP energy = -0.3218 Ry/atom; ΔH_f (0 K) = -448 meV per atom
1.0
-4.809 -0.156 -1.316
-1.411 -6.706 5.952
1.445 8.635 3.151
Pb Na Sm
6 1 5
Cartesian
-3.859 1.698 4.449
-3.156 5.042 1.482
-3.463 -5.106 3.805
-2.757 -1.756 0.831
-1.619 -3.268 6.306
-0.916 0.076 3.338
0.000 0.000 0.000
-2.923 1.543 1.046
-1.111 3.474 3.651
-0.706 -3.353 2.976
-3.664 -1.701 4.136
-1.852 0.230 6.741

Entry 3:
Na2SmPb9 | the Alexandria database | PBE | optimized geometry; calculated volume = 29.75 A^3/atom; VASP energy = -0.2637 Ry/atom; ΔH_f (0 K) = -194 meV per atom
1.0
-3.317 -0.881 3.459
-1.759 -3.705 -2.631
9.584 -9.381 6.801
Na Sm Pb
2 1 9
Cartesian
3.185 -3.118 2.260
6.398 -6.263 4.541
0.000 0.000 0.000
-2.538 -2.293 0.414
0.686 -5.450 2.702
3.820 -8.517 4.926
-0.048 -2.018 2.873
3.133 -5.131 5.130
6.314 -8.244 7.387
0.731 -3.429 -0.172
3.912 -6.543 2.085
7.093 -9.656 4.342

Entry 4:
NaSm5Pb3 | the Alexandria database | PBE | optimized geometry; calculated volume = 29.87 A^3/atom; VASP energy = -0.3254 Ry/atom; ΔH_f (0 K) = -423 meV per atom
1.0
6.633 0.000 0.000
0.000 8.378 -4.837
0.000 0.000 9.674
Na Sm Pb
2 10 6
Cartesian
0.000 0.000 0.000
3.317 0.000 0.000
0.000 5.585 0.000
3.317 2.793 4.837
0.000 2.793 4.837
3.317 5.585 0.000
4.975 5.734 3.310
4.975 0.000 3.053
4.975 2.644 -1.527
1.658 2.644 1.527
1.658 8.378 1.784
1.658 5.733 -3.310
4.975 2.915 1.683
4.975 0.000 6.308
4.975 5.463 -3.154
1.658 5.463 3.154
1.658 8.377 -1.471
1.658 2.915 -1.683

Entry 5:
NaSmPb3 | the Alexandria database | PBE | optimized geometry; calculated volume = 30.00 A^3/atom; VASP energy = -0.2701 Ry/atom; ΔH_f (0 K) = -242 meV per atom
1.0
6.453 0.056 0.000
-0.078 6.533 0.000
0.000 0.000 14.231
Na Sm Pb
4 4 12
Cartesian
1.574 3.280 1.448
4.840 0.042 12.787
4.801 3.308 12.782
1.613 0.014 1.444
3.189 1.659 9.730
3.186 4.930 4.501
6.416 1.687 4.501
-0.041 4.902 9.730
1.613 0.014 7.175
4.801 3.308 7.047
4.840 0.042 7.056
1.574 3.280 7.184
1.318 4.910 12.739
5.057 1.679 1.491
4.545 4.938 1.491
1.831 1.651 12.739
3.242 4.927 10.140
3.134 1.662 4.091
0.015 4.899 4.091
6.360 1.690 10.140

Entry 6:
NaSmPb4 | the Alexandria database | PBE | optimized geometry; calculated volume = 32.01 A^3/atom; VASP energy = -0.2658 Ry/atom; ΔH_f (0 K) = -138 meV per atom
1.0
-3.090 0.326 5.682
1.034 -4.529 4.512
3.275 1.483 5.386
Pb Na Sm
4 1 1
Cartesian
-0.885 -2.448 7.040
0.243 0.576 7.480
0.763 -1.702 9.749
2.317 -1.866 6.891
0.305 -0.680 3.895
0.000 0.000 0.000

Entry 7:
Na3SmPb6 | the Alexandria database | PBE | optimized geometry; calculated volume = 29.49 A^3/atom; VASP energy = -0.2425 Ry/atom; ΔH_f (0 K) = -207 meV per atom
1.0
-3.524 -2.316 -2.354
7.313 -7.107 -3.955
-1.978 -6.218 9.078
Na Sm Pb
6 2 12
Cartesian
2.367 -7.033 0.900
-0.555 -8.608 1.869
0.067 -8.000 5.294
1.745 -7.640 -2.526
4.576 -5.928 -3.494
-2.764 -9.712 6.262
4.776 -11.110 1.304
-2.965 -4.531 1.465
2.187 -4.430 -1.393
-0.375 -11.211 4.161
-0.066 -2.943 0.517
1.878 -12.698 2.251
2.403 -9.538 3.310
-0.591 -6.103 -0.542
-0.107 -5.477 3.073
1.919 -10.163 -0.304
4.697 -8.562 -1.084
-2.885 -7.079 3.853
-2.343 -6.551 7.476
4.155 -9.089 -4.707

Entry 8:
NaSm2Pb8 | the Alexandria database | PBE | optimized geometry; calculated volume = 31.37 A^3/atom; VASP energy = -0.2895 Ry/atom; ΔH_f (0 K) = -264 meV per atom
1.0
4.758 0.000 0.000
0.000 4.758 0.000
0.000 0.000 15.238
Na Sm Pb
1 2 8
Cartesian
0.000 0.000 0.000
0.000 0.000 5.212
0.000 0.000 10.026
0.000 2.379 7.619
2.379 0.000 7.619
2.379 2.379 4.895
2.379 2.379 10.342
0.000 2.379 2.477
2.379 0.000 2.477
0.000 2.379 12.761
2.379 0.000 12.761

Entry 9:
NaSm2Pb9 | the Alexandria database | PBE | optimized geometry; calculated volume = 29.56 A^3/atom; VASP energy = -0.2904 Ry/atom; ΔH_f (0 K) = -274 meV per atom
1.0
4.868 0.000 0.000
0.000 4.868 0.000
0.000 0.000 14.970
Na Sm Pb
1 2 9
Cartesian
0.000 0.000 0.000
0.000 0.000 5.048
0.000 0.000 9.922
2.434 2.434 0.000
2.434 2.434 4.948
2.434 2.434 10.021
2.434 0.000 2.466
2.434 0.000 7.485
2.434 0.000 12.503
0.000 2.434 2.466
0.000 2.434 7.485
0.000 2.434 12.503

Entry 10:
Na2SmPb | the Alexandria database | PBE | optimized geometry; calculated volume = 32.76 A^3/atom; VASP energy = -0.1938 Ry/atom; ΔH_f (0 K) = 130 meV per atom
1.0
-0.478 1.357 -3.153
-2.075 -1.590 -2.275
-10.664 6.531 2.522
Pb Na Sm
1 2 1
Cartesian
-6.608 3.149 -1.453
-7.973 4.719 1.335
-5.243 1.579 -4.240
0.000 0.000 0.000

Entry 11:
NaTbSmPb | the Alexandria database | PBE | optimized geometry; calculated volume = 28.70 A^3/atom; VASP energy = -0.2766 Ry/atom; ΔH_f (0 K) = -170 meV per atom
1.0
-0.352 -5.285 1.307
4.535 -2.982 0.549
1.566 -1.697 4.942
Pb Na Tb Sm
1 1 1 1
Cartesian
2.875 -4.982 3.400
0.000 0.000 0.000
4.312 -7.473 5.099
1.437 -2.491 1.700

Entry 12:
NaSmTlPb | the Alexandria database | PBE | optimized geometry; calculated volume = 28.57 A^3/atom; VASP energy = -0.2424 Ry/atom; energy relative to the lowest polymorph listed for this composition = 45 meV per atom; ΔH_f (0 K) = -269 meV per atom
1.0
-0.710 -4.587 2.850
4.285 -2.499 2.250
0.638 0.028 5.409
Pb Na Tl Sm
1 1 1 1
Cartesian
2.106 -3.529 5.255
3.159 -5.294 7.883
0.000 0.000 0.000
1.053 -1.765 2.628